28
Lattice="6.683 -0.048 0.005 0.070 6.893 0.074 0.394 1.442 7.235" Properties=species:S:1:pos:R:3 comment="LiVP3O9 GGA+U optimized geometry" m_tot_mub_per_atom=0.2143 polymorph_energy_kcal_per_mol_atoms=0.52 mass_density_g_cm3=2.94 pbc="T T T"
P 4.527 1.052 1.596
P 2.619 7.235 5.719
P 4.485 4.063 1.527
P 2.661 4.224 5.788
P 1.165 2.348 4.019
P 5.981 5.940 3.296
V 1.065 0.810 1.017
V 6.082 7.477 6.298
O 3.131 0.649 1.335
O 2.477 5.730 5.255
O 6.646 2.314 4.939
O 2.035 1.017 4.268
O 5.583 0.759 0.522
O 0.948 2.427 2.529
O 4.669 2.557 2.060
O 4.973 4.758 2.917
O 2.174 3.529 4.397
O 1.563 7.528 6.792
O 5.539 4.321 0.460
O 5.111 7.270 3.046
O 4.015 7.639 5.980
O 6.198 5.860 4.786
O 0.500 5.974 2.376
O 3.065 4.381 1.268
O 4.081 3.906 6.047
O 1.608 3.966 6.855
Li 6.002 4.092 5.985
Li 1.144 4.195 1.330